The following is a PBE calculation of an optimized crystal structure of SmTmAlCu, from the Alexandria database.

```
SmTmAlCu
1.0
0.000 3.581 3.581
3.581 0.000 3.581
3.581 3.581 0.000
Sm Tm Al Cu
1 1 1 1
direct
0.000 0.000 0.000
0.500 0.500 0.500
0.250 0.250 0.250
0.750 0.750 0.750
```

## Properties
Total moment: 0.00 μB/f.u.
SG: F-43m, No. 216
Calculated total energy: -4.52 eV per atom
N(E_F): 4.05 states/eV/f.u.
Volume: 91.8 Å³ per cell
Theoretical density: 7.4 g/cm3


The following is a PBE calculation of an optimized crystal structure of Sm2Y2Al4Cu, from the Alexandria database.

```
Sm2Y2Al4Cu
1.0
-3.529 3.529 4.351
3.529 -3.529 4.351
3.529 3.529 -4.351
Sm Y Al Cu
2 2 4 1
direct
0.192 0.192 0.000
0.808 0.808 0.000
0.250 0.750 0.500
0.750 0.250 0.500
0.266 0.266 0.531
0.266 0.734 0.000
0.734 0.266 0.000
0.734 0.734 0.469
0.500 0.500 0.000
```

## Properties
Total moment: 0.00 μB/f.u.
SG: I4/mmm, No. 139
Calculated total energy: -4.80 eV per atom
N(E_F): 8.06 states/eV/f.u.
Volume: 216.7 Å³ per cell
Theoretical density: 5.0 g/cm3


The following is a PBE calculation of an optimized crystal structure of Sm2Al4Zn3Cu, from the Alexandria database.

```
Sm2Al4Zn3Cu
1.0
4.224 0.000 0.000
0.000 4.224 0.000
0.000 0.000 10.575
Sm Al Zn Cu
2 4 3 1
direct
0.000 0.500 0.245
0.500 0.000 0.755
0.000 0.000 0.500
0.000 0.500 0.876
0.500 0.000 0.124
0.500 0.500 0.500
0.000 0.000 0.000
0.000 0.500 0.642
0.500 0.000 0.358
0.500 0.500 0.000
```

## Properties
Total moment: 0.00 μB/f.u.
SG: P-4m2, No. 115
Calculated total energy: -3.63 eV per atom
N(E_F): 5.14 states/eV/f.u.
Volume: 188.7 Å³ per cell
Theoretical density: 5.9 g/cm3


The following is a PBE calculation of an optimized crystal structure of SmAl4ZnCu2, from the Alexandria database.

```
SmAl4ZnCu2
1.0
2.126 1.227 8.867
-2.126 1.227 8.867
0.000 -2.455 8.867
Sm Al Zn Cu
1 4 1 2
direct
0.000 0.000 0.000
0.126 0.126 0.126
0.403 0.403 0.403
0.597 0.597 0.597
0.874 0.874 0.874
0.500 0.500 0.500
0.236 0.236 0.236
0.764 0.764 0.764
```

## Properties
Total moment: 0.00 μB/f.u.
SG: R-3m, No. 166
Calculated total energy: -3.85 eV per atom
N(E_F): 3.04 states/eV/f.u.
Volume: 138.8 Å³ per cell
Theoretical density: 5.4 g/cm3


The following is a PBE calculation of an optimized crystal structure of SmAl2ZnCu, from the Alexandria database.

```
SmAl2ZnCu
1.0
-2.113 2.126 5.208
2.113 -2.126 5.208
2.113 2.126 -5.208
Sm Al Zn Cu
1 2 1 1
direct
0.000 0.000 0.000
0.397 0.397 0.000
0.744 0.244 0.500
0.250 0.750 0.500
0.625 0.625 0.000
```

## Properties
Total moment: 0.00 μB/f.u.
SG: Imm2, No. 44
Calculated total energy: -3.90 eV per atom
N(E_F): 2.22 states/eV/f.u.
Volume: 93.6 Å³ per cell
Theoretical density: 5.9 g/cm3


The following is a PBE calculation of an optimized crystal structure of Sm2Al3ZnCu12, from the Alexandria database.

```
Sm2Al3ZnCu12
1.0
4.139 2.389 5.442
-4.139 2.389 5.442
0.000 -4.779 5.442
Sm Al Zn Cu
2 3 1 12
direct
0.099 0.099 0.099
0.901 0.901 0.901
0.000 0.500 0.500
0.500 0.000 0.500
0.500 0.500 0.000
0.500 0.500 0.500
0.121 0.121 0.504
0.121 0.504 0.121
0.155 0.648 0.648
0.352 0.352 0.845
0.352 0.845 0.352
0.496 0.879 0.879
0.504 0.121 0.121
0.648 0.155 0.648
0.648 0.648 0.155
0.845 0.352 0.352
0.879 0.496 0.879
0.879 0.879 0.496
```

## Properties
Total moment: 0.00 μB/f.u.
SG: R-3m, No. 166
Calculated total energy: -3.72 eV per atom
N(E_F): 8.53 states/eV/f.u.
Volume: 322.9 Å³ per cell
Theoretical density: 6.2 g/cm3


The following is a PBE calculation of an optimized crystal structure of SmAl3ZnCu, from the Alexandria database.

```
SmAl3ZnCu
1.0
3.072 -6.305 0.000
3.072 6.305 0.000
0.000 0.000 5.811
Sm Al Zn Cu
2 6 2 2
direct
0.208 0.792 0.750
0.792 0.208 0.250
0.211 0.211 0.000
0.211 0.211 0.500
0.365 0.635 0.250
0.635 0.365 0.750
0.789 0.789 0.000
0.789 0.789 0.500
0.154 0.846 0.250
0.846 0.154 0.750
0.426 0.574 0.750
0.574 0.426 0.250
```

## Properties
Total moment: 0.00 μB/f.u.
SG: Cmcm, No. 63
Calculated total energy: -3.70 eV per atom
N(E_F): 2.44 states/eV/f.u.
Volume: 225.1 Å³ per cell
Theoretical density: 5.3 g/cm3


The following is a PBE calculation of an optimized crystal structure of SmAlZn3Cu, from the Alexandria database.

```
SmAlZn3Cu
1.0
3.128 -6.326 0.000
3.128 6.326 0.000
0.000 0.000 5.692
Sm Al Zn Cu
2 2 6 2
direct
0.202 0.798 0.750
0.798 0.202 0.250
0.431 0.569 0.750
0.569 0.431 0.250
0.195 0.195 0.000
0.195 0.195 0.500
0.356 0.644 0.250
0.644 0.356 0.750
0.805 0.805 0.000
0.805 0.805 0.500
0.149 0.851 0.250
0.851 0.149 0.750
```

## Properties
Total moment: 0.00 μB/f.u.
SG: Cmcm, No. 63
Calculated total energy: -2.77 eV per atom
N(E_F): 2.11 states/eV/f.u.
Volume: 225.3 Å³ per cell
Theoretical density: 6.4 g/cm3


The following is a PBE calculation of an optimized crystal structure of SmAlZn2Cu, from the Alexandria database.

```
SmAlZn2Cu
1.0
-2.009 2.084 5.490
2.009 -2.084 5.490
2.009 2.084 -5.490
Sm Al Zn Cu
1 1 2 1
direct
0.000 0.000 0.000
0.255 0.755 0.500
0.611 0.611 0.000
0.758 0.258 0.500
0.388 0.388 0.000
```

## Properties
Total moment: 0.00 μB/f.u.
SG: Imm2, No. 44
Calculated total energy: -3.37 eV per atom
N(E_F): 2.70 states/eV/f.u.
Volume: 91.9 Å³ per cell
Theoretical density: 6.7 g/cm3


The following is a PBE calculation of an optimized crystal structure of Sm2AlZn3Cu12, from the Alexandria database.

```
Sm2AlZn3Cu12
1.0
4.127 2.383 5.571
-4.127 2.383 5.571
0.000 -4.765 5.571
Sm Al Zn Cu
2 1 3 12
direct
0.101 0.101 0.101
0.899 0.899 0.899
0.500 0.500 0.500
0.000 0.500 0.500
0.500 0.000 0.500
0.500 0.500 0.000
0.123 0.123 0.496
0.123 0.496 0.123
0.153 0.644 0.644
0.356 0.356 0.847
0.356 0.847 0.356
0.496 0.123 0.123
0.504 0.877 0.877
0.644 0.153 0.644
0.644 0.644 0.153
0.847 0.356 0.356
0.877 0.504 0.877
0.877 0.877 0.504
```

## Properties
Total moment: 0.00 μB/f.u.
SG: R-3m, No. 166
Calculated total energy: -3.43 eV per atom
N(E_F): 6.95 states/eV/f.u.
Volume: 328.7 Å³ per cell
Theoretical density: 6.5 g/cm3


The following is a PBE calculation of an optimized crystal structure of AlCuSn3, from the Alexandria database.

```
AlCuSn3
1.0
5.264 0.000 0.000
0.000 5.264 0.000
0.000 0.000 5.264
Al Cu Sn
1 1 3
direct
0.000 0.000 0.000
0.500 0.500 0.500
0.000 0.000 0.500
0.000 0.500 0.000
0.500 0.000 0.000
```

## Properties
Distance to the lowest polymorph of the same formula: 324 meV/atom
Total moment: 0.00 μB/f.u.
SG: Pm-3m, No. 221
Calculated total energy: -3.25 eV per atom
N(E_F): 3.34 states/eV/f.u.
Volume: 145.9 Å³ per cell
Theoretical density: 5.1 g/cm3


The following is a PBE calculation of an optimized crystal structure of AlCuSn, from the Alexandria database.

```
AlCuSn
1.0
3.010 0.000 0.000
0.019 3.944 0.000
1.056 0.005 9.714
Al Cu Sn
2 2 2
direct
0.000 0.000 0.000
0.398 0.000 0.254
0.519 0.500 0.942
0.930 0.500 0.166
0.590 0.001 0.733
0.661 0.501 0.455
```

## Properties
Total moment: 0.00 μB/f.u.
SG: P1, No. 1
Calculated total energy: -3.94 eV per atom
N(E_F): 0.87 states/eV/f.u.
Volume: 115.3 Å³ per cell
Theoretical density: 6.0 g/cm3


The following is a PBE calculation of an optimized crystal structure of AlCuSn, from the Alexandria database.

```
AlCuSn
1.0
3.194 0.000 0.000
-0.010 4.092 0.000
-0.313 -1.517 8.885
Al Cu Sn
2 2 2
direct
0.236 0.398 0.371
0.764 0.602 0.629
0.260 0.102 0.609
0.740 0.898 0.391
0.217 0.807 0.129
0.783 0.193 0.871
```

## Properties
Total moment: 0.00 μB/f.u.
SG: P-1, No. 2
Calculated total energy: -3.94 eV per atom
N(E_F): 0.93 states/eV/f.u.
Volume: 116.1 Å³ per cell
Theoretical density: 6.0 g/cm3


The following is a PBE calculation of an optimized crystal structure of AlCu2Sn, from the Alexandria database.

```
AlCu2Sn
1.0
-3.551 3.551 2.866
3.551 -3.551 2.866
3.551 3.551 -2.866
Al Cu Sn
2 4 2
direct
0.000 0.000 0.000
0.750 0.250 0.500
0.099 0.625 0.974
0.375 0.349 0.474
0.651 0.125 0.026
0.875 0.901 0.526
0.250 0.750 0.500
0.500 0.500 0.000
```

## Properties
Distance to the lowest polymorph of the same formula: 227 meV/atom
Total moment: 0.00 μB/f.u.
SG: I-42d, No. 122
Calculated total energy: -3.71 eV per atom
N(E_F): 1.56 states/eV/f.u.
Volume: 144.6 Å³ per cell
Theoretical density: 6.3 g/cm3


The following is a PBE calculation of an optimized crystal structure of Al2CuSn2, from the Alexandria database.

```
Al2CuSn2
1.0
6.575 0.000 0.000
0.000 6.575 0.000
0.000 0.000 4.834
Al Cu Sn
4 2 4
direct
0.145 0.355 0.000
0.355 0.855 0.000
0.645 0.145 0.000
0.855 0.645 0.000
0.000 0.000 0.000
0.500 0.500 0.000
0.177 0.677 0.500
0.323 0.177 0.500
0.677 0.823 0.500
0.823 0.323 0.500
```

## Properties
Distance to the lowest polymorph of the same formula: 0 meV/atom
Total moment: 0.00 μB/f.u.
SG: P4/mbm, No. 127
Calculated total energy: -3.77 eV per atom
N(E_F): 2.49 states/eV/f.u.
Volume: 209.0 Å³ per cell
Theoretical density: 5.6 g/cm3


The following is a PBE calculation of an optimized crystal structure of AlCuSn, from the Alexandria database.

```
AlCuSn
1.0
3.395 0.000 0.000
0.000 5.561 0.000
-0.008 0.000 6.003
Al Cu Sn
2 2 2
direct
0.000 0.000 0.000
0.000 0.500 0.010
0.501 0.245 0.225
0.501 0.755 0.225
0.000 0.000 0.532
0.500 0.500 0.609
```

## Properties
Total moment: 0.00 μB/f.u.
SG: Pm, No. 6
Calculated total energy: -3.94 eV per atom
N(E_F): 0.94 states/eV/f.u.
Volume: 113.3 Å³ per cell
Theoretical density: 6.1 g/cm3


The following is a PBE calculation of an optimized crystal structure of AlCuSn, from the Alexandria database.

```
AlCuSn
1.0
5.455 0.000 0.000
0.000 4.064 0.000
0.000 0.000 10.531
Al Cu Sn
4 4 4
direct
0.121 0.250 0.058
0.379 0.750 0.558
0.621 0.250 0.442
0.879 0.750 0.942
0.051 0.250 0.820
0.449 0.750 0.320
0.551 0.250 0.680
0.949 0.750 0.180
0.098 0.250 0.346
0.402 0.750 0.846
0.598 0.250 0.154
0.902 0.750 0.654
```

## Properties
Total moment: 0.00 μB/f.u.
SG: Pnma, No. 62
Calculated total energy: -3.87 eV per atom
N(E_F): 1.05 states/eV/f.u.
Volume: 233.5 Å³ per cell
Theoretical density: 6.0 g/cm3


The following is a PBE calculation of an optimized crystal structure of AlCuSn, from the Alexandria database.

```
AlCuSn
1.0
4.098 0.000 0.000
2.042 3.560 0.000
1.925 1.187 8.216
Al Cu Sn
2 2 2
direct
0.000 0.000 0.000
0.404 0.407 0.774
0.097 0.101 0.690
0.707 0.709 0.871
0.598 0.596 0.209
0.821 0.830 0.507
```

## Properties
Total moment: 0.00 μB/f.u.
SG: P1, No. 1
Calculated total energy: -3.96 eV per atom
N(E_F): 1.19 states/eV/f.u.
Volume: 119.9 Å³ per cell
Theoretical density: 5.8 g/cm3


The following is a PBE calculation of an optimized crystal structure of AlCu2Sn, from the Alexandria database.

```
AlCu2Sn
1.0
0.000 3.203 3.203
3.203 0.000 3.203
3.203 3.203 0.000
Al Cu Sn
1 2 1
direct
0.000 0.000 0.000
0.250 0.250 0.250
0.750 0.750 0.750
0.500 0.500 0.500
```

## Properties
Distance to the lowest polymorph of the same formula: 96 meV/atom
Total moment: 0.00 μB/f.u.
SG: Fm-3m, No. 225
Calculated total energy: -3.84 eV per atom
N(E_F): 2.36 states/eV/f.u.
Volume: 65.7 Å³ per cell
Theoretical density: 6.9 g/cm3


The following is a PBE calculation of an optimized crystal structure of AlCuSn, from the Alexandria database.

```
AlCuSn
1.0
4.047 0.000 0.000
0.000 3.041 0.000
0.000 0.000 9.713
Al Cu Sn
2 2 2
direct
0.250 0.000 0.134
0.750 0.000 0.866
0.250 0.500 0.915
0.750 0.500 0.085
0.250 0.000 0.652
0.750 0.000 0.348
```

## Properties
Total moment: 0.00 μB/f.u.
SG: Pmma, No. 51
Calculated total energy: -3.99 eV per atom
N(E_F): 0.96 states/eV/f.u.
Volume: 119.5 Å³ per cell
Theoretical density: 5.8 g/cm3


The following is a PBE calculation of an optimized crystal structure of AlCuSn, from the Alexandria database.

```
AlCuSn
1.0
3.729 -2.159 0.000
3.729 2.159 0.000
-2.504 0.000 7.241
Al Cu Sn
2 2 2
direct
0.130 0.130 0.389
0.870 0.870 0.611
0.243 0.243 0.729
0.757 0.757 0.271
0.379 0.379 0.141
0.621 0.621 0.859
```

## Properties
Total moment: 0.00 μB/f.u.
SG: C2/m, No. 12
Calculated total energy: -3.99 eV per atom
N(E_F): 1.08 states/eV/f.u.
Volume: 116.6 Å³ per cell
Theoretical density: 6.0 g/cm3


The following is a PBE calculation of an optimized crystal structure of AlCuSn, from the Alexandria database.

```
AlCuSn
1.0
4.052 0.000 0.000
-2.026 3.509 0.000
0.000 0.000 10.997
Al Cu Sn
2 2 2
direct
0.000 0.000 0.250
0.000 0.000 0.750
0.333 0.667 0.250
0.667 0.333 0.750
0.000 0.000 0.000
0.000 0.000 0.500
```

## Properties
Total moment: 0.00 μB/f.u.
SG: P6_3/mmc, No. 194
Calculated total energy: -3.33 eV per atom
N(E_F): 1.87 states/eV/f.u.
Volume: 156.3 Å³ per cell
Theoretical density: 4.4 g/cm3


The following is a PBE calculation of an optimized crystal structure of Al2CuSn2, from the Alexandria database.

```
Al2CuSn2
1.0
7.204 0.000 0.000
0.000 7.204 0.000
0.000 0.000 4.264
Al Cu Sn
4 2 4
direct
0.136 0.364 0.000
0.364 0.864 0.000
0.636 0.136 0.000
0.864 0.636 0.000
0.000 0.000 0.500
0.500 0.500 0.500
0.169 0.669 0.500
0.331 0.169 0.500
0.669 0.831 0.500
0.831 0.331 0.500
```

## Properties
Distance to the lowest polymorph of the same formula: 142 meV/atom
Total moment: 0.00 μB/f.u.
SG: P4/mbm, No. 127
Calculated total energy: -3.63 eV per atom
N(E_F): 2.29 states/eV/f.u.
Volume: 221.3 Å³ per cell
Theoretical density: 5.3 g/cm3


The following is a PBE calculation of an optimized crystal structure of AlCuSn, from the Alexandria database.

```
AlCuSn
1.0
3.980 0.000 0.000
0.000 3.980 0.000
0.000 0.000 6.825
Al Cu Sn
2 2 2
direct
0.250 0.750 0.000
0.750 0.250 0.000
0.250 0.250 0.236
0.750 0.750 0.764
0.250 0.250 0.637
0.750 0.750 0.363
```

## Properties
Total moment: 0.00 μB/f.u.
SG: P4/nmm, No. 129
Calculated total energy: -3.99 eV per atom
N(E_F): 1.10 states/eV/f.u.
Volume: 108.1 Å³ per cell
Theoretical density: 6.4 g/cm3